(1)
{"formula": "TiNiPt", "functional": "PBE", "state": "relaxed", "cell": [[3.7192, 0.0000, 0.0000], [0.0000, 3.7192, 0.0000], [0.0000, 0.0000, 6.4609]], "species": ["Ti", "Ti", "Ni", "Ni", "Pt", "Pt"], "frac_coords": [[0.2500, 0.2500, 0.1616], [0.7500, 0.7500, 0.8384], [0.2500, 0.7500, 0.5000], [0.7500, 0.2500, 0.5000], [0.2500, 0.2500, 0.7725], [0.7500, 0.7500, 0.2275]], "vol_a3_per_atom": 14.89, "delta_e_f_ev_per_atom": -0.61, "space_group": "P4/nmm (129)", "total_magnetization_mub_per_cell": 0.0}


(2)
{"formula": "YZrCd", "functional": "PBE", "state": "relaxed", "cell": [[5.1426, 0.0000, 0.0000], [-2.5713, 4.4536, 0.0000], [0.0000, 0.0000, 3.3658]], "species": ["Y", "Zr", "Cd"], "frac_coords": [[0.0000, 0.0000, 0.0000], [0.3333, 0.6667, 0.4945], [0.6667, 0.3333, 0.5133]], "vol_a3_per_atom": 25.70, "de_polymorph_mev_per_atom": 221, "delta_e_f_ev_per_atom": 0.05, "space_group": "P3m1 (156)", "total_magnetization_mub_per_cell": 0.0}


(3)
{"formula": "RbPbSF2", "functional": "PBE", "state": "relaxed", "cell": [[4.8095, 0.0000, 0.0000], [0.0000, 4.8095, 0.0000], [0.0000, 0.0000, 5.1546]], "species": ["Rb", "Pb", "S", "F", "F"], "frac_coords": [[0.0000, 0.0000, 0.0000], [0.5000, 0.5000, 0.5000], [0.5000, 0.5000, 0.0000], [0.0000, 0.5000, 0.5000], [0.5000, 0.0000, 0.5000]], "vol_a3_per_atom": 23.85, "space_group": "P4/mmm (123)", "total_magnetization_mub_per_cell": 0.0, "formation_energy_uncorrected_ev_per_atom": -1.726}


(4)
{"formula": "Pm2Cd2Ag3", "functional": "PBE", "state": "relaxed", "cell": [[10.7548, 0.0000, 0.0000], [0.0000, 4.5787, 0.0000], [-2.5139, 0.0000, 6.7588]], "species": ["Pm", "Pm", "Pm", "Pm", "Cd", "Cd", "Cd", "Cd", "Ag", "Ag", "Ag", "Ag", "Ag", "Ag"], "frac_coords": [[0.1359, 0.0000, 0.2566], [0.3641, 0.5000, 0.7434], [0.6359, 0.5000, 0.2566], [0.8641, 0.0000, 0.7434], [0.1549, 0.0000, 0.7146], [0.3451, 0.5000, 0.2854], [0.6549, 0.5000, 0.7146], [0.8451, 0.0000, 0.2854], [0.0000, 0.5000, 0.5000], [0.1089, 0.5000, 0.9281], [0.3911, 0.0000, 0.0719], [0.5000, 0.0000, 0.5000], [0.6089, 0.0000, 0.9281], [0.8911, 0.5000, 0.0719]], "vol_a3_per_atom": 23.77, "de_polymorph_mev_per_atom": 0, "delta_e_f_ev_per_atom": -0.24, "space_group": "C2/m (12)", "total_magnetization_mub_per_cell": 0.0}


(5)
{"formula": "BaTlRu4", "functional": "PBE", "state": "relaxed", "cell": [[0.0000, 3.8907, 3.8907], [3.8907, 0.0000, 3.8907], [3.8907, 3.8907, 0.0000]], "species": ["Ba", "Tl", "Ru", "Ru", "Ru", "Ru"], "frac_coords": [[0.0000, 0.0000, 0.0000], [0.2500, 0.2500, 0.2500], [0.1293, 0.6236, 0.6236], [0.6236, 0.1293, 0.6236], [0.6236, 0.6236, 0.1293], [0.6236, 0.6236, 0.6236]], "vol_a3_per_atom": 19.63, "delta_e_f_ev_per_atom": 0.66, "space_group": "F-43m (216)", "total_magnetization_mub_per_cell": 4.5}


(6)
{"formula": "Pm2SmEr6", "functional": "PBE", "state": "relaxed", "cell": [[8.4450, -4.8769, 0.0000], [8.4450, 4.8769, 0.0000], [-0.0098, 0.0000, 3.4509]], "species": ["Pm", "Pm", "Sm", "Er", "Er", "Er", "Er", "Er", "Er"], "frac_coords": [[0.1668, 0.1668, 0.0000], [0.8332, 0.8332, 0.0000], [0.5000, 0.5000, 0.0000], [0.1670, 0.4999, 0.4999], [0.1668, 0.8332, 0.5000], [0.4999, 0.1670, 0.4999], [0.5001, 0.8330, 0.5001], [0.8332, 0.1668, 0.5000], [0.8330, 0.5001, 0.5001]], "vol_a3_per_atom": 31.58, "de_polymorph_mev_per_atom": 0, "delta_e_f_ev_per_atom": 0.08, "space_group": "C2/m (12)", "total_magnetization_mub_per_cell": 0.0}


(7)
{"formula": "DyMg2AlGe2", "functional": "PBE", "state": "relaxed", "cell": [[4.1394, 0.0000, 0.0000], [0.0000, 8.5432, 0.0000], [0.0000, 0.0000, 6.9715]], "species": ["Dy", "Dy", "Mg", "Mg", "Mg", "Mg", "Al", "Al", "Ge", "Ge", "Ge", "Ge"], "frac_coords": [[0.0000, 0.0823, 0.0000], [0.0000, 0.9177, 0.5000], [0.0000, 0.3164, 0.3985], [0.0000, 0.6836, 0.8985], [0.5000, 0.4245, 0.0753], [0.5000, 0.5755, 0.5753], [0.5000, 0.1891, 0.6824], [0.5000, 0.8109, 0.1824], [0.0000, 0.3756, 0.7834], [0.0000, 0.6244, 0.2834], [0.5000, 0.1160, 0.3044], [0.5000, 0.8840, 0.8044]], "vol_a3_per_atom": 20.54, "delta_e_f_ev_per_atom": -0.38, "space_group": "Pmc2_1 (26)", "total_magnetization_mub_per_cell": 0.0}


(8)
{"formula": "ZrCrAu", "functional": "PBE", "state": "relaxed", "cell": [[4.5843, 0.0000, 0.0000], [-2.2922, 3.9702, 0.0000], [0.0000, 0.0000, 3.1332]], "species": ["Zr", "Cr", "Au"], "frac_coords": [[0.0000, 0.0000, 0.0000], [0.3333, 0.6667, 0.5000], [0.6667, 0.3333, 0.5000]], "vol_a3_per_atom": 19.01, "de_polymorph_mev_per_atom": 120, "delta_e_f_ev_per_atom": 0.06, "space_group": "P-6m2 (187)", "total_magnetization_mub_per_cell": 3.7}


(9)
{"formula": "Ac2Bi3Pd6Pb", "functional": "PBE", "state": "relaxed", "cell": [[4.4300, 0.0000, 0.0000], [0.0000, 4.4300, 0.0000], [0.0000, 0.0000, 16.9859]], "species": ["Ac", "Ac", "Bi", "Bi", "Bi", "Pd", "Pd", "Pd", "Pd", "Pd", "Pd", "Pb"], "frac_coords": [[0.0000, 0.0000, 0.2002], [0.0000, 0.0000, 0.7998], [0.5000, 0.5000, 0.0000], [0.5000, 0.5000, 0.3105], [0.5000, 0.5000, 0.6895], [0.0000, 0.5000, 0.4032], [0.0000, 0.5000, 0.5968], [0.5000, 0.0000, 0.4032], [0.5000, 0.0000, 0.5968], [0.5000, 0.5000, 0.1525], [0.5000, 0.5000, 0.8475], [0.0000, 0.0000, 0.5000]], "vol_a3_per_atom": 27.78, "delta_e_f_ev_per_atom": -0.34, "space_group": "P4/mmm (123)", "total_magnetization_mub_per_cell": 0.0}


(10)
{"formula": "Mn2CuBr", "functional": "PBE", "state": "relaxed", "cell": [[3.1391, 0.0000, 0.0000], [0.0000, 3.7967, 0.0000], [0.0000, 0.0000, 12.5455]], "species": ["Mn", "Mn", "Mn", "Mn", "Cu", "Cu", "Br", "Br"], "frac_coords": [[0.0000, 0.0000, 0.0000], [0.0000, 0.5000, 0.3152], [0.5000, 0.0000, 0.8152], [0.5000, 0.5000, 0.5000], [0.0000, 0.0000, 0.4444], [0.5000, 0.5000, 0.9444], [0.0000, 0.5000, 0.6834], [0.5000, 0.0000, 0.1834]], "vol_a3_per_atom": 18.69, "de_polymorph_mev_per_atom": 75, "space_group": "Imm2 (44)", "total_magnetization_mub_per_cell": 16.3, "formation_energy_uncorrected_ev_per_atom": 0.337}


(11)
{"formula": "MgPd2Pt2", "functional": "PBE", "state": "relaxed", "cell": [[7.4238, 0.0000, 0.0000], [0.0000, 7.4238, 0.0000], [0.0000, 0.0000, 3.0730]], "species": ["Mg", "Mg", "Pd", "Pd", "Pd", "Pd", "Pt", "Pt", "Pt", "Pt"], "frac_coords": [[0.0000, 0.0000, 0.0000], [0.5000, 0.5000, 0.0000], [0.1337, 0.3663, 0.0000], [0.3663, 0.8663, 0.0000], [0.6337, 0.1337, 0.0000], [0.8663, 0.6337, 0.0000], [0.1660, 0.6660, 0.5000], [0.3340, 0.1660, 0.5000], [0.6660, 0.8340, 0.5000], [0.8340, 0.3340, 0.5000]], "vol_a3_per_atom": 16.94, "de_polymorph_mev_per_atom": 37, "delta_e_f_ev_per_atom": -0.16, "space_group": "P4/mbm (127)", "total_magnetization_mub_per_cell": 0.0}


(12)
{"formula": "K4Ba5", "functional": "PBE", "state": "relaxed", "cell": [[12.8101, 0.0000, 0.0000], [-6.4050, 11.0938, 0.0000], [0.0000, 0.0000, 8.6493]], "species": ["K", "K", "K", "K", "K", "K", "K", "K", "Ba", "Ba", "Ba", "Ba", "Ba", "Ba", "Ba", "Ba", "Ba", "Ba"], "frac_coords": [[0.0000, 0.0000, 0.0000], [0.0000, 0.0000, 0.5000], [0.0000, 0.2965, 0.2500], [0.0000, 0.7035, 0.7500], [0.2965, 0.0000, 0.2500], [0.2965, 0.2965, 0.7500], [0.7035, 0.0000, 0.7500], [0.7035, 0.7035, 0.2500], [0.0000, 0.3774, 0.7500], [0.0000, 0.6226, 0.2500], [0.3333, 0.6667, 0.0000], [0.3333, 0.6667, 0.5000], [0.3774, 0.0000, 0.7500], [0.3774, 0.3774, 0.2500], [0.6226, 0.0000, 0.2500], [0.6226, 0.6226, 0.7500], [0.6667, 0.3333, 0.0000], [0.6667, 0.3333, 0.5000]], "vol_a3_per_atom": 68.29, "de_polymorph_mev_per_atom": 44, "delta_e_f_ev_per_atom": 0.12, "space_group": "P6_3/mcm (193)", "total_magnetization_mub_per_cell": 0.0}